(1)
Compound: Mg4Pt3
Source: the Alexandria database
Functional: GGA-PBE
Structure: relaxed

Calculated values
For the energy relative to the lowest polymorph listed for this composition, the calculation gives 0.0 meV per atom. The calculation puts the energy of formation at -5.433 eV/f.u. The value obtained for the density of states at the Fermi level is 2.13 states/eV/cell.

Lattice parameters (Å, degrees): 7.6147 7.6147 7.6147 34.25 34.25 34.25
Sites, in units of the cell vectors:
Mg 0.1190 0.1190 0.1190
Mg 0.3715 0.3715 0.3715
Mg 0.6285 0.6285 0.6285
Mg 0.8810 0.8810 0.8810
Pt 0.2465 0.2465 0.2465
Pt 0.5000 0.5000 0.5000
Pt 0.7535 0.7535 0.7535

---

(2)
Compound: RuRh2Au
Source: the Alexandria database
Functional: GGA-PBE
Structure: relaxed

Calculated values
For the energy relative to the lowest polymorph listed for this composition, the calculation gives 535.8 meV per atom. The calculation puts the energy of formation at 2.448 eV/f.u. The value obtained for the density of states at the Fermi level is 12.47 states/eV/cell.

Lattice parameters (Å, degrees): 5.6593 5.6593 5.6593 103.36 103.36 122.54
Sites, in units of the cell vectors:
Ru 0.0000 0.0000 0.0000
Ru 0.7500 0.2500 0.5000
Rh 0.0938 0.6250 0.9688
Rh 0.3750 0.3438 0.4688
Rh 0.6562 0.1250 0.0312
Rh 0.8750 0.9062 0.5312
Au 0.2500 0.7500 0.5000
Au 0.5000 0.5000 0.0000

---

Which formula does entry 2 have?
RuRh2Au